--- 1 ---
PBE HfV3H, optimized geometry; DOS at the Fermi energy = 7.4 states/eV/f.u.; volume = 13.04 Å³ per atom; space-group type = Pm-3m (221)
1.0
4.025 0.000 0.000
0.000 4.025 0.000
0.000 0.000 4.025
H Hf V
1 1 3
Direct
0.000 0.000 0.000
0.500 0.500 0.500
0.000 0.500 0.000
0.000 0.000 0.500
0.500 0.000 0.000


--- 2 ---
PBE HfV3H, optimized geometry; DOS at the Fermi energy = 8.1 states/eV/f.u.; volume = 22.95 Å³ per atom; space-group type = Pm-3m (221)
1.0
-4.514 0.797 1.614
-1.786 -2.512 -3.756
0.219 -4.082 2.627
H Hf V
1 1 3
Direct
0.500 0.500 0.500
0.000 0.000 0.000
0.000 0.500 0.000
0.000 0.000 0.500
0.500 0.000 0.000


The structure with the greatest stability is 1.


--- 1 ---
PBE HfVH3, optimized geometry; DOS at the Fermi energy = 2.0 states/eV/f.u.; volume = 9.77 Å³ per atom; space-group type = Pm-3m (221)
1.0
3.655 0.000 0.000
0.000 3.655 0.000
0.000 0.000 3.655
H Hf V
3 1 1
Direct
0.000 0.500 0.000
0.000 0.000 0.500
0.500 0.000 0.000
0.000 0.000 0.000
0.500 0.500 0.500


--- 2 ---
PBE HfVH3, optimized geometry; DOS at the Fermi energy = 1.3 states/eV/f.u.; volume = 8.16 Å³ per atom; space-group type = Pm-3m (221)
1.0
-2.597 -1.490 -1.700
1.861 0.060 -2.896
1.283 -3.103 0.760
H Hf V
3 1 1
Direct
0.000 0.500 0.000
0.000 0.000 0.500
0.500 0.000 0.000
0.500 0.500 0.500
0.000 0.000 0.000


The structure with the greatest stability is 2.